[1]
DFT (PBE) results for a relaxed ScNiBi crystal.

POSCAR file:
```
ScNiBi
1.0
7.1996 0.0000 0.0000
-3.5998 6.2350 0.0000
0.0000 0.0000 3.9282
Sc Ni Bi
3 3 3
Direct
0.0000 0.6144 0.0000
0.3856 0.3856 0.0000
0.6144 0.0000 0.0000
0.0000 0.0000 0.0000
0.3333 0.6667 0.5000
0.6667 0.3333 0.5000
0.0000 0.2791 0.5000
0.2791 0.0000 0.5000
0.7209 0.7209 0.5000
```

Summary:
Its space group is P-62m, No. 189.

[2]
DFT (PBE) results for a relaxed ScNi2Bi crystal.

POSCAR file:
```
ScNi2Bi
1.0
0.0000 3.2299 3.2299
3.2299 0.0000 3.2299
3.2299 3.2299 0.0000
Sc Ni Bi
1 2 1
Direct
0.0000 0.0000 0.0000
0.5000 0.5000 0.5000
0.7500 0.7500 0.7500
0.2500 0.2500 0.2500
```

Summary:
Its space group is F-43m, No. 216.

Total DFT energy (no corrections) per entry: -0.21120 -0.20063 hartree per atom